#1
Below is Pa2CF after structural relaxation, with properties calculated at the PBE level.

Cell and atoms, written as POSCAR:
```
Pa2CF
1.0
3.126 0.000 0.000
0.000 3.126 0.000
0.000 0.000 6.537
C F Pa
1 1 2
Cartesian
1.563 1.563 0.000
1.563 1.563 3.269
0.000 0.000 5.127
0.000 0.000 1.410
```

#2
Below is Pa2CF after structural relaxation, with properties calculated at the PBE level.

Cell and atoms, written as POSCAR:
```
Pa2CF
1.0
3.544 0.000 0.000
1.772 3.069 0.000
1.772 1.023 5.993
Pa F C
2 1 1
Cartesian
5.316 3.069 4.605
1.772 1.023 1.388
3.544 2.046 2.996
0.000 0.000 0.000
```

Stability check: which of them is least stable? #1.

#1
Below is Pb2CF after structural relaxation, with properties calculated at the PBE level.

Cell and atoms, written as POSCAR:
```
Pb2CF
1.0
5.928 0.000 0.000
0.000 5.928 0.000
2.964 2.964 5.461
C Pb F
2 4 2
Cartesian
2.964 2.964 0.000
2.964 5.928 2.731
1.646 4.446 1.365
7.410 7.246 4.096
4.282 1.482 1.365
4.446 4.610 4.096
5.928 2.964 2.731
0.000 0.000 0.000
```

#2
Below is Pb2CF after structural relaxation, with properties calculated at the PBE level.

Cell and atoms, written as POSCAR:
```
Pb2CF
1.0
0.000 3.290 3.290
3.290 0.000 3.290
3.290 3.290 0.000
C Pb F
1 2 1
Cartesian
0.000 0.000 0.000
4.935 4.935 4.935
1.645 1.645 1.645
3.290 3.290 3.290
```

Stability check: which of them is least stable? #2.

#1
Below is Pb2C2F after structural relaxation, with properties calculated at the PBE level.

Cell and atoms, written as POSCAR:
```
Pb2C2F
1.0
-2.340 2.655 -3.234
2.550 -2.032 -3.514
-2.555 -2.444 -3.711
Pb C F
2 2 1
Cartesian
-2.395 0.261 -5.159
0.050 -2.083 -5.300
-0.346 -0.156 -3.431
-1.999 -1.666 -7.028
0.000 0.000 0.000
```

#2
Below is Pb2C2F after structural relaxation, with properties calculated at the PBE level.

Cell and atoms, written as POSCAR:
```
Pb2C2F
1.0
7.216 0.000 0.000
0.000 7.216 0.000
0.000 0.000 3.586
C Pb F
4 4 2
Cartesian
3.157 6.765 0.000
0.451 3.157 0.000
4.059 0.451 0.000
6.765 4.059 0.000
5.285 1.677 1.793
1.931 5.538 1.793
5.538 5.285 1.793
1.677 1.931 1.793
3.608 3.608 0.000
0.000 0.000 0.000
```

Stability check: which of them is least stable? #1.

#1
Below is PbC3F after structural relaxation, with properties calculated at the PBE level.

Cell and atoms, written as POSCAR:
```
PbC3F
1.0
4.014 0.000 0.000
0.000 4.014 0.000
0.000 0.000 4.014
C F Pb
3 1 1
Cartesian
0.000 0.000 2.007
2.007 0.000 0.000
0.000 2.007 0.000
0.000 0.000 0.000
2.007 2.007 2.007
```

#2
Below is PbC3F after structural relaxation, with properties calculated at the PBE level.

Cell and atoms, written as POSCAR:
```
PbC3F
1.0
4.588 0.000 0.000
0.000 4.588 0.000
0.000 0.000 4.588
C Pb F
3 1 1
Cartesian
0.000 0.000 2.294
2.294 0.000 0.000
0.000 2.294 0.000
0.000 0.000 0.000
2.294 2.294 2.294
```

Stability check: which of them is least stable? #2.

#1
Below is PdCF2 after structural relaxation, with properties calculated at the PBE level.

Cell and atoms, written as POSCAR:
```
PdCF2
1.0
0.000 2.791 2.791
2.791 0.000 2.791
2.791 2.791 0.000
C F Pd
1 2 1
Cartesian
0.000 0.000 0.000
1.396 1.396 1.396
4.187 4.187 4.187
2.791 2.791 2.791
```

#2
Below is PdCF2 after structural relaxation, with properties calculated at the PBE level.

Cell and atoms, written as POSCAR:
```
PdCF2
1.0
-1.651 -2.852 -0.454
0.546 -0.822 3.176
-6.984 1.569 3.348
F C Pd
4 2 2
Cartesian
-1.620 -0.493 2.763
-2.700 -1.478 0.953
-6.207 -2.033 4.877
-5.649 -0.205 3.549
-0.552 -1.837 1.361
-3.495 -0.545 3.943
-4.593 -1.560 2.128
0.000 0.000 0.000
```

Stability check: which of them is least stable? #1.

#1
Below is Pm2CF after structural relaxation, with properties calculated at the PBE level.

Cell and atoms, written as POSCAR:
```
Pm2CF
1.0
-2.066 0.533 -2.373
-2.417 -0.795 1.926
-0.548 6.193 1.869
Pm F C
2 1 1
Cartesian
-0.154 1.739 0.525
-0.394 4.455 1.344
-2.242 -0.131 -0.224
-2.516 2.966 0.711
```

#2
Below is Pm2CF after structural relaxation, with properties calculated at the PBE level.

Cell and atoms, written as POSCAR:
```
Pm2CF
1.0
4.009 0.000 -0.001
0.000 5.701 0.000
0.002 0.000 7.940
F C Pm
2 2 4
Cartesian
2.810 1.991 3.702
0.808 4.842 5.952
2.812 2.131 7.760
0.806 4.981 1.893
2.810 3.598 1.792
0.806 0.451 3.840
2.811 3.302 5.814
0.807 0.748 7.862
```

Stability check: which of them is least stable? #1.